Tl2NiF: relaxed, PBE with a Hubbard U.

The total magnetization is 0.24 μB per cell. For the density, the calculation gives 10.80 g cm⁻³. The value obtained for the distance to the lowest polymorph of the same formula is 0.031 eV/f.u. Its space-group type is No. 225.

abc: 4.730 4.730 4.730
angles: 60.00 60.00 60.00
Fractional coordinates of all 4 atoms:
Tl  0.250  0.250  0.250
Tl  0.750  0.750  0.750
F  0.000  0.000  0.000
Ni  0.500  0.500  0.500